A relaxed structure of CaWN2F. Source: Alexandria, functional GGA+U.

```
5
Lattice="4.3189 0.0000 0.0000 0.0000 4.3189 0.0000 0.0000 0.0000 4.0447" Properties=species:S:1:pos:R:3 pbc="T T T"
N 0.0000 2.1594 0.0000
W 2.1594 2.1594 2.0223
N 2.1594 0.0000 0.0000
Ca 0.0000 0.0000 0.0000
F 0.0000 0.0000 2.0223
```

## Properties
total energy = -4.83 eV/atom
N(E_F) = 1.77 states/eV/cell
relative energy among the computed polymorphs = 1716 meV/atom
SG = P4/mmm (123)
total magnetization = 3.505 μB/cell